Entry 1:
## Nd2Y4Ho2Th (GGA-PBE)

Data for an optimized crystal structure of Nd2Y4Ho2Th.

- Fermi-level density of states (states/eV/cell) = 12.918
- M_tot (μB/atom) = 0.000
- DFT formation energy (eV per formula unit) = 0.01

```
Nd2Y4Ho2Th
1.0
9.4068 -1.8090 0.0000
9.4068 1.8090 0.0000
-4.1749 0.0000 8.6355
Nd Y Ho Th
2 4 2 1
Direct
0.1639 0.1639 0.0004 Nd
0.8361 0.8361 0.9996 Nd
0.0183 0.0183 0.3306 Y
0.3152 0.3152 0.6662 Y
0.6848 0.6848 0.3338 Y
0.9817 0.9817 0.6694 Y
0.3524 0.3524 0.3371 Ho
0.6476 0.6476 0.6629 Ho
0.5000 0.5000 0.0000 Th
```

Entry 2:
## Nd2Y5HoTh (GGA-PBE)

Data for an optimized crystal structure of Nd2Y5HoTh.

- Fermi-level density of states (states/eV/cell) = 21.941
- M_tot (μB/atom) = 0.000
- DFT formation energy (eV per formula unit) = 2.58

```
Nd2Y5HoTh
1.0
-4.3749 4.3749 7.7508
4.3749 -4.3749 7.7508
4.3749 4.3749 -7.7508
Nd Y Ho Th
4 10 2 2
Direct
0.1161 0.6161 0.7322 Nd
0.3839 0.1161 0.5000 Nd
0.6161 0.8839 0.5000 Nd
0.8839 0.3839 0.2678 Nd
0.0000 0.0000 0.0000 Y
0.0732 0.1480 0.5000 Y
0.1480 0.6480 0.0747 Y
0.3520 0.4268 0.5000 Y
0.4268 0.9268 0.0747 Y
0.5000 0.5000 0.0000 Y
0.5732 0.0732 0.9253 Y
0.6480 0.5732 0.5000 Y
0.8520 0.3520 0.9253 Y
0.9268 0.8520 0.5000 Y
0.2500 0.7500 0.5000 Ho
0.7500 0.2500 0.5000 Ho
0.2500 0.2500 0.0000 Th
0.7500 0.7500 0.0000 Th
```

Entry 3:
## Nd2YHo2Th2 (GGA-PBE)

Data for an optimized crystal structure of Nd2YHo2Th2.

- Fermi-level density of states (states/eV/cell) = 11.203
- M_tot (μB/atom) = 0.000
- DFT formation energy (eV per formula unit) = 1.33

```
Nd2YHo2Th2
1.0
5.8307 -1.7212 0.0000
5.8307 1.7212 0.0000
-2.6415 0.0000 11.6702
Nd Y Ho Th
2 1 2 2
Direct
0.2051 0.2051 0.3613 Nd
0.7949 0.7949 0.6387 Nd
0.5000 0.5000 0.5000 Y
0.1527 0.1527 0.0683 Ho
0.8473 0.8473 0.9317 Ho
0.0948 0.0948 0.7786 Th
0.9052 0.9052 0.2214 Th
```

Entry 4:
## Nd6Y2Ho3Th (GGA-PBE)

Data for an optimized crystal structure of Nd6Y2Ho3Th.

- Fermi-level density of states (states/eV/cell) = 16.168
- M_tot (μB/atom) = 0.000
- DFT formation energy (eV per formula unit) = 0.39

```
Nd6Y2Ho3Th
1.0
3.1365 -5.4302 0.0000
3.1365 5.4302 0.0000
-2.0970 0.0000 11.7624
Nd Y Ho Th
6 2 3 1
Direct
0.0838 0.4132 0.7509 Nd
0.2455 0.2455 0.2496 Nd
0.4132 0.0838 0.7509 Nd
0.5868 0.9162 0.2491 Nd
0.7545 0.7545 0.7504 Nd
0.9162 0.5868 0.2491 Nd
0.3333 0.6667 0.5000 Y
0.6667 0.3333 0.5000 Y
0.1669 0.8331 0.0000 Ho
0.5000 0.5000 0.0000 Ho
0.8331 0.1669 0.0000 Ho
0.0000 0.0000 0.5000 Th
```

Entry 5:
## Nd2Y6Ho3Th (GGA-PBE)

Data for an optimized crystal structure of Nd2Y6Ho3Th.

- Fermi-level density of states (states/eV/cell) = 17.057
- M_tot (μB/atom) = 0.000
- DFT formation energy (eV per formula unit) = 0.38

```
Nd2Y6Ho3Th
1.0
3.1081 -5.3777 0.0000
3.1081 5.3777 0.0000
-2.0689 0.0000 11.6465
Nd Y Ho Th
2 6 3 1
Direct
0.1666 0.8334 0.0000 Nd
0.8334 0.1666 0.0000 Nd
0.0857 0.4154 0.7485 Y
0.2551 0.2551 0.2516 Y
0.4154 0.0857 0.7485 Y
0.5846 0.9143 0.2515 Y
0.7449 0.7449 0.7484 Y
0.9143 0.5846 0.2515 Y
0.0000 0.0000 0.5000 Ho
0.3329 0.6671 0.5000 Ho
0.6671 0.3329 0.5000 Ho
0.5000 0.5000 0.0000 Th
```

Entry 6:
## NdY2Ho5Th (GGA-PBE)

Data for an optimized crystal structure of NdY2Ho5Th.

- Fermi-level density of states (states/eV/cell) = 23.955
- M_tot (μB/atom) = 0.000
- DFT formation energy (eV per formula unit) = 1.47

```
NdY2Ho5Th
1.0
2.8579 -10.6384 0.0000
2.8579 10.6384 0.0000
0.0000 0.0000 9.8251
Nd Y Ho Th
2 4 10 2
Direct
0.1923 0.8077 0.5000 Nd
0.8077 0.1923 0.0000 Nd
0.1156 0.8844 0.8129 Y
0.1267 0.8733 0.1956 Y
0.8733 0.1267 0.6956 Y
0.8844 0.1156 0.3129 Y
0.0152 0.9848 0.5014 Ho
0.2733 0.7267 0.8041 Ho
0.3048 0.6952 0.1937 Ho
0.4010 0.5990 0.5199 Ho
0.4687 0.5313 0.2193 Ho
0.5313 0.4687 0.7193 Ho
0.5990 0.4010 0.0199 Ho
0.6952 0.3048 0.6937 Ho
0.7267 0.2733 0.3041 Ho
0.9848 0.0152 0.0014 Ho
0.4086 0.5914 0.9041 Th
0.5914 0.4086 0.4041 Th
```

Entry 7:
## NdYHoTh (GGA-PBE)

Data for an optimized crystal structure of NdYHoTh.

- Fermi-level density of states (states/eV/cell) = 6.066
- M_tot (μB/atom) = 0.000
- DFT formation energy (eV per formula unit) = 0.05
- polymorph energy (0 for the lowest one) (eV per atom) = 0.000

```
NdYHoTh
1.0
1.8029 1.0409 11.5884
-1.8029 1.0409 11.5884
0.0000 -2.0818 11.5884
Nd Y Ho Th
1 1 1 1
Direct
0.0000 0.0000 0.0000 Nd
0.4205 0.4205 0.4205 Y
0.2485 0.2485 0.2485 Ho
0.8351 0.8351 0.8351 Th
```

Entry 8:
## NdYHo5Th2 (GGA-PBE)

Data for an optimized crystal structure of NdYHo5Th2.

- Fermi-level density of states (states/eV/cell) = 24.263
- M_tot (μB/atom) = 0.000
- DFT formation energy (eV per formula unit) = 2.94

```
NdYHo5Th2
1.0
-4.3773 4.3773 7.7301
4.3773 -4.3773 7.7301
4.3773 4.3773 -7.7301
Nd Y Ho Th
2 2 10 4
Direct
0.2500 0.7500 0.5000 Nd
0.7500 0.2500 0.5000 Nd
0.2500 0.2500 0.0000 Y
0.7500 0.7500 0.0000 Y
0.0000 0.0000 0.0000 Ho
0.0690 0.5690 0.9159 Ho
0.1531 0.0690 0.5000 Ho
0.3469 0.8469 0.9159 Ho
0.4310 0.3469 0.5000 Ho
0.5000 0.5000 0.0000 Ho
0.5690 0.6531 0.5000 Ho
0.6531 0.1531 0.0841 Ho
0.8469 0.9310 0.5000 Ho
0.9310 0.4310 0.0841 Ho
0.1195 0.3805 0.5000 Th
0.3805 0.8805 0.2611 Th
0.6195 0.1195 0.7389 Th
0.8805 0.6195 0.5000 Th
```

Entry 9:
## NdYHo3Th (GGA-PBE)

Data for an optimized crystal structure of NdYHo3Th.

- Fermi-level density of states (states/eV/cell) = 17.156
- M_tot (μB/atom) = 0.000
- DFT formation energy (eV per formula unit) = 0.16

```
NdYHo3Th
1.0
10.6852 0.0000 0.0000
0.0000 3.5763 0.0000
-3.4993 0.0000 10.0969
Nd Y Ho Th
2 2 6 2
Direct
0.1286 0.2500 0.1296 Nd
0.8714 0.7500 0.8704 Nd
0.2931 0.2500 0.6225 Y
0.7069 0.7500 0.3775 Y
0.0414 0.7500 0.3755 Ho
0.2101 0.7500 0.8741 Ho
0.4580 0.2500 0.1260 Ho
0.5420 0.7500 0.8740 Ho
0.7899 0.2500 0.1259 Ho
0.9586 0.2500 0.6245 Ho
0.3783 0.7500 0.3768 Th
0.6217 0.2500 0.6232 Th
```

Entry 10:
## NdY5Ho2Th (GGA-PBE)

Data for an optimized crystal structure of NdY5Ho2Th.

- Fermi-level density of states (states/eV/cell) = 25.451
- M_tot (μB/atom) = 0.000
- DFT formation energy (eV per formula unit) = 1.45

```
NdY5Ho2Th
1.0
2.8809 -10.6871 0.0000
2.8809 10.6871 0.0000
0.0000 0.0000 9.7450
Nd Y Ho Th
2 10 4 2
Direct
0.0963 0.9037 0.5000 Nd
0.9037 0.0963 0.0000 Nd
0.0280 0.9720 0.8193 Y
0.1102 0.8898 0.1133 Y
0.1954 0.8046 0.7888 Y
0.2335 0.7665 0.4130 Y
0.4867 0.5133 0.0910 Y
0.5133 0.4867 0.5910 Y
0.7665 0.2335 0.9130 Y
0.8046 0.1954 0.2888 Y
0.8898 0.1102 0.6133 Y
0.9720 0.0280 0.3193 Y
0.3681 0.6319 0.7850 Ho
0.3876 0.6124 0.3986 Ho
0.6124 0.3876 0.8986 Ho
0.6319 0.3681 0.2850 Ho
0.3104 0.6896 0.0997 Th
0.6896 0.3104 0.5997 Th
```

Entry 11:
## NdY3HoTh (GGA-PBE)

Data for an optimized crystal structure of NdY3HoTh.

- Fermi-level density of states (states/eV/cell) = 18.946
- M_tot (μB/atom) = 0.000
- DFT formation energy (eV per formula unit) = 0.17

```
NdY3HoTh
1.0
8.0144 0.0000 0.0000
0.0000 5.0886 0.0000
-3.2723 0.0000 9.6103
Nd Y Ho Th
2 6 2 2
Direct
0.1713 0.2500 0.2927 Nd
0.8287 0.7500 0.7073 Nd
0.1707 0.7500 0.5439 Y
0.1754 0.7500 0.0433 Y
0.1765 0.2500 0.7935 Y
0.8235 0.7500 0.2065 Y
0.8246 0.2500 0.9567 Y
0.8293 0.2500 0.4561 Y
0.4994 0.2500 0.6280 Ho
0.5006 0.7500 0.3720 Ho
0.4994 0.7500 0.8782 Th
0.5006 0.2500 0.1218 Th
```

Entry 12:
## NdYHoTh (GGA-PBE)

Data for an optimized crystal structure of NdYHoTh.

- Fermi-level density of states (states/eV/cell) = 8.512
- M_tot (μB/atom) = 0.000
- DFT formation energy (eV per formula unit) = 0.55
- polymorph energy (0 for the lowest one) (eV per atom) = 0.123

```
NdYHoTh
1.0
0.0000 4.0386 4.0386
4.0386 0.0000 4.0386
4.0386 4.0386 0.0000
Nd Y Ho Th
1 1 1 1
Direct
0.0000 0.0000 0.0000 Nd
0.7500 0.7500 0.7500 Y
0.2500 0.2500 0.2500 Ho
0.5000 0.5000 0.5000 Th
```